#i
The following is a DFT calculation (PBE) of an optimized crystal structure of HfSnPb3.

```
HfSnPb3
1.0
5.638 0.000 0.000
0.000 5.638 0.000
0.000 0.000 5.638
Pb Sn Hf
3 1 1
direct
0.000 0.500 0.000
0.000 0.000 0.500
0.500 0.000 0.000
0.500 0.500 0.500
0.000 0.000 0.000
```

#ii
The following is a DFT calculation (PBE) of an optimized crystal structure of HfSnPb3.

```
HfSnPb3
1.0
5.666 0.000 0.000
0.000 5.666 0.000
0.000 0.000 5.666
Hf Pb Sn
1 3 1
direct
0.500 0.500 0.500
0.000 0.500 0.000
0.000 0.000 0.500
0.500 0.000 0.000
0.000 0.000 0.000
```

How do the energies compare? Relative to the most stable structure, in meV/atom: #i 0; #ii 654.

#i
The following is a DFT calculation (PBE) of an optimized crystal structure of HfTaPb2.

```
HfTaPb2
1.0
0.798 -2.054 4.504
-2.698 -3.965 1.461
2.161 -4.511 0.351
Pb Hf Ta
2 1 1
direct
0.250 0.250 0.250
0.750 0.750 0.750
0.000 0.000 0.000
0.500 0.500 0.500
```

#ii
The following is a DFT calculation (PBE) of an optimized crystal structure of HfTaPb2.

```
HfTaPb2
1.0
7.958 0.000 0.000
0.000 7.958 0.000
3.979 3.979 3.098
Pb Hf Ta
4 2 2
direct
0.875 0.883 0.750
0.633 0.125 0.250
0.375 0.367 0.750
0.117 0.625 0.250
0.250 0.750 0.500
0.500 0.500 0.000
0.750 0.250 0.500
0.000 0.000 0.000
```

How do the energies compare? Relative to the most stable structure, in meV/atom: #i 0; #ii 181.

#i
The following is a DFT calculation (PBE) of an optimized crystal structure of Hf2TaPb2.

```
Hf2TaPb2
1.0
-0.235 -0.058 7.821
-7.491 -2.248 -0.242
1.104 -3.680 0.006
Hf Pb Ta
4 4 2
direct
0.363 0.863 0.000
0.637 0.137 0.000
0.863 0.637 0.000
0.137 0.363 0.000
0.332 0.168 0.500
0.832 0.332 0.500
0.168 0.668 0.500
0.668 0.832 0.500
0.500 0.500 0.000
0.000 0.000 0.000
```

#ii
The following is a DFT calculation (PBE) of an optimized crystal structure of Hf2TaPb2.

```
Hf2TaPb2
1.0
7.562 0.000 0.000
0.000 7.562 0.000
0.000 0.000 3.921
Pb Hf Ta
4 4 2
direct
0.642 0.142 0.000
0.358 0.858 0.000
0.858 0.642 0.000
0.142 0.358 0.000
0.337 0.163 0.500
0.163 0.663 0.500
0.663 0.837 0.500
0.837 0.337 0.500
0.500 0.500 0.000
0.000 0.000 0.000
```

#iii
The following is a DFT calculation (PBE) of an optimized crystal structure of Hf2TaPb2.

```
Hf2TaPb2
1.0
-2.415 -0.140 3.223
3.030 -1.481 2.206
2.457 6.455 4.640
Pb Hf Ta
2 2 1
direct
0.250 0.750 0.500
0.750 0.250 0.500
0.410 0.410 0.180
0.590 0.590 0.820
0.000 0.000 0.000
```

How do the energies compare? Relative to the most stable structure, in meV/atom: #i 310; #ii 0; #iii 469.

#i
The following is a DFT calculation (PBE) of an optimized crystal structure of Hf3TePb.

```
Hf3TePb
1.0
10.152 1.911 0.000
-3.640 7.114 0.000
0.000 0.000 5.894
Hf Pb Te
12 4 4
direct
0.986 0.825 0.632
0.486 0.825 0.868
0.514 0.175 0.132
0.212 0.969 0.129
0.712 0.969 0.371
0.601 0.592 0.178
0.014 0.175 0.368
0.399 0.408 0.822
0.788 0.031 0.871
0.101 0.592 0.322
0.899 0.408 0.678
0.288 0.031 0.629
0.090 0.202 0.855
0.590 0.202 0.645
0.410 0.798 0.355
0.910 0.798 0.145
0.810 0.348 0.174
0.310 0.348 0.326
0.690 0.652 0.674
0.190 0.652 0.826
```

#ii
The following is a DFT calculation (PBE) of an optimized crystal structure of Hf3TePb.

```
Hf3TePb
1.0
5.248 0.000 0.000
0.000 5.248 0.000
0.000 0.000 5.248
Te Hf Pb
1 3 1
direct
0.000 0.000 0.000
0.500 0.000 0.000
0.000 0.000 0.500
0.000 0.500 0.000
0.500 0.500 0.500
```

#iii
The following is a DFT calculation (PBE) of an optimized crystal structure of Hf3TePb.

```
Hf3TePb
1.0
-0.932 -4.413 -2.878
1.533 -3.024 4.140
-5.041 -0.104 1.791
Te Hf Pb
1 3 1
direct
0.500 0.500 0.500
0.500 0.000 0.000
0.000 0.000 0.500
0.000 0.500 0.000
0.000 0.000 0.000
```

How do the energies compare? Relative to the most stable structure, in meV/atom: #i 0; #ii 974; #iii 1444.

#i
The following is a DFT calculation (PBE) of an optimized crystal structure of HfTi2Pb2.

```
HfTi2Pb2
1.0
-3.234 0.878 7.475
1.834 -7.798 1.710
2.864 0.922 1.131
Hf Pb Ti
2 4 4
direct
0.500 0.500 0.000
0.000 0.000 0.000
0.678 0.822 0.500
0.178 0.678 0.500
0.322 0.178 0.500
0.822 0.322 0.500
0.881 0.619 0.000
0.619 0.119 0.000
0.381 0.881 0.000
0.119 0.381 0.000
```

#ii
The following is a DFT calculation (PBE) of an optimized crystal structure of HfTi2Pb2.

```
HfTi2Pb2
1.0
-1.916 -6.848 -2.970
5.744 -3.311 3.928
-2.240 -0.581 2.786
Pb Ti Hf
4 4 2
direct
0.643 0.143 0.000
0.857 0.643 0.000
0.357 0.857 0.000
0.143 0.357 0.000
0.159 0.659 0.500
0.841 0.341 0.500
0.659 0.841 0.500
0.341 0.159 0.500
0.500 0.500 0.000
0.000 0.000 0.000
```

How do the energies compare? Relative to the most stable structure, in meV/atom: #i 127; #ii 0.

#i
The following is a DFT calculation (PBE) of an optimized crystal structure of Hf3Ti3Pb.

```
Hf3Ti3Pb
1.0
5.028 0.000 0.000
0.000 7.029 -4.058
0.000 0.000 8.116
Ti Hf Pb
6 6 2
direct
0.750 0.833 0.783
0.750 0.217 0.050
0.250 0.783 0.950
0.250 0.050 0.833
0.750 0.950 0.167
0.250 0.167 0.217
0.250 0.454 0.103
0.250 0.897 0.351
0.250 0.649 0.546
0.750 0.103 0.649
0.750 0.351 0.454
0.750 0.546 0.897
0.250 0.333 0.667
0.750 0.667 0.333
```

#ii
The following is a DFT calculation (PBE) of an optimized crystal structure of Hf3Ti3Pb.

```
Hf3Ti3Pb
1.0
4.810 0.000 0.000
0.000 8.282 0.000
0.000 -4.141 7.173
Ti Hf Pb
6 6 2
direct
0.250 0.410 0.505
0.250 0.095 0.590
0.750 0.505 0.095
0.750 0.905 0.410
0.250 0.495 0.905
0.750 0.590 0.495
0.250 0.256 0.083
0.750 0.744 0.917
0.250 0.917 0.173
0.250 0.827 0.744
0.750 0.083 0.827
0.750 0.173 0.256
0.250 0.667 0.333
0.750 0.333 0.667
```

How do the energies compare? Relative to the most stable structure, in meV/atom: #i 10; #ii 0.

#i
The following is a DFT calculation (PBE) of an optimized crystal structure of Hf3Ti2Pb2.

```
Hf3Ti2Pb2
1.0
3.096 0.000 0.000
0.000 7.407 -0.656
-1.548 -2.477 6.924
Hf Ti Pb
3 2 2
direct
0.709 0.292 0.418
0.291 0.708 0.582
0.000 0.000 0.000
0.078 0.421 0.156
0.922 0.579 0.844
0.625 0.814 0.251
0.375 0.186 0.749
```

#ii
The following is a DFT calculation (PBE) of an optimized crystal structure of Hf3Ti2Pb2.

```
Hf3Ti2Pb2
1.0
-2.254 1.412 1.789
-6.001 -4.690 -0.988
3.325 -5.492 11.392
Hf Pb Ti
6 4 4
direct
0.116 0.888 0.879
0.801 0.546 0.851
0.652 0.174 0.521
0.884 0.112 0.121
0.199 0.454 0.149
0.348 0.826 0.479
0.416 0.236 0.931
0.733 0.854 0.680
0.584 0.764 0.069
0.267 0.146 0.320
0.960 0.793 0.287
0.421 0.504 0.653
0.579 0.496 0.347
0.040 0.207 0.713
```

How do the energies compare? Relative to the most stable structure, in meV/atom: #i 0; #ii 33.

#i
The following is a DFT calculation (PBE) of an optimized crystal structure of Hf2Ti3Pb2.

```
Hf2Ti3Pb2
1.0
-0.349 0.161 3.007
-4.796 0.841 -0.602
0.659 -10.105 0.618
Pb Hf Ti
2 2 3
direct
0.500 0.854 0.708
0.500 0.146 0.292
0.000 0.573 0.146
0.000 0.427 0.854
0.000 0.717 0.434
0.000 0.000 0.000
0.000 0.283 0.566
```

#ii
The following is a DFT calculation (PBE) of an optimized crystal structure of Hf2Ti3Pb2.

```
Hf2Ti3Pb2
1.0
-1.470 0.970 -3.179
-3.754 -3.612 2.711
-2.230 6.326 2.961
Pb Ti Hf
2 3 2
direct
0.131 0.262 0.399
0.869 0.738 0.601
0.293 0.585 0.884
0.000 0.000 0.000
0.707 0.415 0.116
0.592 0.183 0.734
0.408 0.817 0.266
```

How do the energies compare? Relative to the most stable structure, in meV/atom: #i 299; #ii 0.